1.
Material: Rb3SrNp3Se8
Method: DFT, PBE
State: relaxed

```
15
Lattice="4.285 2.474 8.011 -4.285 2.474 8.011 0.000 -4.947 8.011" Properties=species:S:1:pos:R:3 pbc="T T T"
Rb -2.142 -1.237 8.011
Rb -2.142 1.237 16.022
Rb 0.000 2.474 8.011
Sr 0.000 0.000 12.016
Np -4.285 0.000 12.016
Np -2.142 1.237 4.005
Np 2.142 1.237 4.005
Se -2.303 -1.329 13.577
Se 0.000 0.000 5.556
Se 0.000 -2.659 10.456
Se -2.303 1.329 10.456
Se 2.303 -1.329 13.577
Se 0.000 2.659 13.577
Se 0.000 0.000 18.476
Se 2.303 1.329 10.456
```

Formation energy without anion corrections   -1.317 eV/atom
VASP energy   -6.069 eV/atom

2.
Material: Rb2SrNpSe4
Method: DFT, PBE
State: relaxed

```
8
Lattice="7.670 0.000 0.000 0.000 4.406 0.000 -2.517 0.000 7.957" Properties=species:S:1:pos:R:3 pbc="T T T"
Rb 0.000 0.000 0.000
Rb 3.835 2.203 0.000
Sr -1.258 2.203 3.979
Np 2.576 0.000 3.979
Se 0.244 0.000 5.569
Se 1.453 2.203 2.434
Se 3.700 2.203 5.524
Se 4.909 0.000 2.389
```

Formation energy without anion corrections   -1.420 eV/atom
VASP energy   -5.232 eV/atom

3.
Material: Rb3Np3TaSe8
Method: DFT, PBE
State: relaxed

```
15
Lattice="4.101 2.368 8.248 -4.101 2.368 8.248 0.000 -4.736 8.248" Properties=species:S:1:pos:R:3 pbc="T T T"
Rb -2.051 -1.184 8.248
Rb -2.051 1.184 16.495
Rb 0.000 2.368 8.247
Np -4.101 0.000 12.371
Np -2.051 1.184 4.124
Np 2.051 1.184 4.124
Ta 0.000 0.000 12.371
Se 0.000 0.000 5.775
Se -1.912 -1.104 13.911
Se 0.000 -2.207 10.832
Se -1.912 1.104 10.832
Se 1.912 -1.104 13.911
Se 0.000 2.207 13.911
Se 1.912 1.104 10.832
Se 0.000 0.000 18.968
```

Formation energy without anion corrections   -1.122 eV/atom
VASP energy   -6.552 eV/atom

4.
Material: Rb4Np3TaSe8
Method: DFT, PBE
State: relaxed

```
16
Lattice="4.159 2.401 8.050 -4.159 2.401 8.050 0.000 -4.803 8.050" Properties=species:S:1:pos:R:3 pbc="T T T"
Rb 0.000 0.000 0.000
Rb -2.080 -1.201 8.050
Rb -2.080 1.201 16.100
Rb 0.000 2.401 8.050
Np -4.159 0.000 12.075
Np -2.080 1.201 4.025
Np 2.080 1.201 4.025
Ta 0.000 0.000 12.075
Se 0.000 0.000 5.647
Se -1.950 -1.126 13.620
Se 0.000 -2.251 10.529
Se -1.950 1.126 10.529
Se 1.950 -1.126 13.620
Se 0.000 2.251 13.620
Se 1.950 1.126 10.529
Se 0.000 0.000 18.502
```

Formation energy without anion corrections   -1.092 eV/atom
VASP energy   -6.244 eV/atom

5.
Material: Rb3Tb2NpSe6
Method: DFT, PBE
State: relaxed

```
12
Lattice="3.715 -6.423 0.000 3.715 6.423 0.000 -2.466 0.000 8.000" Properties=species:S:1:pos:R:3 pbc="T T T"
Rb 0.000 0.000 0.000
Rb 3.715 2.142 0.000
Rb 3.715 -2.142 0.000
Tb 2.482 4.290 4.000
Tb 2.482 -4.290 4.000
Np 2.482 0.000 4.000
Se 1.228 2.159 2.428
Se -0.017 0.000 5.573
Se 1.228 -2.159 2.428
Se 3.737 2.159 5.571
Se 4.981 0.000 2.427
Se 3.737 -2.159 5.571
```

Formation energy without anion corrections   -1.562 eV/atom
VASP energy   -5.397 eV/atom

6.
Material: Rb2TbNp2Se6
Method: DFT, PBE
State: relaxed

```
11
Lattice="3.636 -6.307 0.000 3.636 6.307 0.000 -2.395 0.000 8.174" Properties=species:S:1:pos:R:3 pbc="T T T"
Rb 3.636 4.218 0.000
Rb 3.636 -4.218 0.000
Tb -1.198 0.000 4.087
Np 2.438 2.097 4.087
Np 2.438 -2.097 4.087
Se 0.023 2.127 5.643
Se 1.246 0.000 2.527
Se 0.023 -2.127 5.643
Se 4.853 2.127 2.531
Se 3.630 0.000 5.647
Se 4.853 -2.127 2.531
```

Formation energy without anion corrections   -1.406 eV/atom
VASP energy   -6.256 eV/atom

7.
Material: Rb3Tb3NpSe8
Method: DFT, PBE
State: relaxed

```
15
Lattice="4.216 2.434 8.142 -4.216 2.434 8.142 0.000 -4.869 8.142" Properties=species:S:1:pos:R:3 pbc="T T T"
Rb -2.108 -1.217 8.142
Rb -2.108 1.217 16.283
Rb 0.000 2.434 8.142
Tb -4.216 0.000 12.213
Tb -2.108 1.217 4.071
Tb 2.108 1.217 4.071
Np 0.000 0.000 12.213
Se 0.000 0.000 5.659
Se -2.078 -1.200 13.768
Se 0.000 -2.400 10.657
Se -2.078 1.200 10.657
Se 2.078 -1.200 13.768
Se 0.000 2.400 13.768
Se 2.078 1.200 10.657
Se 0.000 0.000 18.767
```

Formation energy without anion corrections   -1.616 eV/atom
VASP energy   -5.457 eV/atom

8.
Material: Rb4Tb3NpSe8
Method: DFT, PBE
State: relaxed

```
16
Lattice="4.281 2.471 7.991 -4.281 2.471 7.991 0.000 -4.943 7.991" Properties=species:S:1:pos:R:3 pbc="T T T"
Rb 0.000 0.000 0.000
Rb -2.140 -1.236 7.991
Rb -2.140 1.236 15.982
Rb 0.000 2.471 7.991
Tb -4.281 0.000 11.986
Tb -2.140 1.236 3.995
Tb 2.140 1.236 3.995
Np 0.000 0.000 11.986
Se -2.159 -1.247 13.553
Se 0.000 0.000 5.563
Se 0.000 -2.493 10.420
Se -2.159 1.247 10.420
Se 2.159 -1.247 13.553
Se 0.000 2.493 13.553
Se 0.000 0.000 18.409
Se 2.159 1.247 10.420
```

Formation energy without anion corrections   -1.608 eV/atom
VASP energy   -5.269 eV/atom

9.
Material: Rb4TbNp3Se8
Method: DFT, PBE
State: relaxed

```
16
Lattice="4.297 2.481 7.982 -4.297 2.481 7.982 0.000 -4.962 7.982" Properties=species:S:1:pos:R:3 pbc="T T T"
Rb 0.000 0.000 0.000
Rb -2.149 -1.241 7.982
Rb -2.149 1.241 15.965
Rb 0.000 2.481 7.982
Tb 0.000 0.000 11.973
Np -4.297 0.000 11.973
Np -2.149 1.241 3.991
Np 2.149 1.241 3.991
Se 0.000 0.000 5.538
Se -2.134 -1.232 13.540
Se 0.000 -2.465 10.407
Se -2.134 1.232 10.407
Se 2.134 -1.232 13.540
Se 0.000 2.465 13.540
Se 2.134 1.232 10.407
Se 0.000 0.000 18.408
```

Formation energy without anion corrections   -1.358 eV/atom
VASP energy   -6.058 eV/atom

10.
Material: Rb3Np3TeSe8
Method: DFT, PBE
State: relaxed

```
15
Lattice="7.392 -4.274 0.000 7.392 4.274 0.000 -4.924 0.000 8.070" Properties=species:S:1:pos:R:3 pbc="T T T"
Rb 0.000 0.000 0.000
Rb 3.696 2.137 0.000
Rb 3.696 -2.137 0.000
Np 1.234 2.137 4.035
Np 1.234 -2.137 4.035
Np 4.930 0.000 4.035
Te -2.462 0.000 4.035
Se 3.706 2.149 5.574
Se -0.008 0.000 5.575
Se 2.465 0.000 2.463
Se 6.154 2.149 2.496
Se 3.706 -2.149 5.574
Se 7.395 0.000 5.607
Se 9.869 0.000 2.495
Se 6.154 -2.149 2.496
```

Formation energy without anion corrections   -0.996 eV/atom
VASP energy   -5.845 eV/atom

11.
Material: Rb2Np2TeSe6
Method: DFT, PBE
State: relaxed

```
11
Lattice="2.809 -7.564 0.000 2.809 7.564 0.000 -0.440 0.000 8.573" Properties=species:S:1:pos:R:3 pbc="T T T"
Rb 2.809 5.710 0.000
Rb 2.809 -5.710 0.000
Np 2.589 2.084 4.286
Np 2.589 -2.084 4.286
Te -0.220 0.000 4.286
Se 1.102 3.697 6.126
Se 1.908 0.000 2.390
Se 1.102 -3.697 6.126
Se 4.076 3.697 2.447
Se 3.270 0.000 6.182
Se 4.076 -3.697 2.447
```

Formation energy without anion corrections   -0.915 eV/atom
VASP energy   -5.630 eV/atom

12.
Material: RbNpTeSe
Method: DFT, PBE
State: relaxed

```
4
Lattice="2.204 1.272 8.378 -2.204 1.272 8.378 0.000 -2.545 8.378" Properties=species:S:1:pos:R:3 pbc="T T T"
Rb 0.000 0.000 0.000
Np 0.000 0.000 4.486
Te 0.000 0.000 19.415
Se 0.000 0.000 14.343
```

Formation energy without anion corrections   -1.038 eV/atom
VASP energy   -6.172 eV/atom